[1]
Entry from Alexandria: a PBEsol-optimized structure of ZnIrRh2 (SCAN).

Summary:
ΔE_f = -0.143 eV per atom
Size of the total moment = 0.0 Bohr magnetons per cell
Calculated density = 14.3 g cm⁻³
Symmetry = No. 119
Raw total energy = -38.183 eV/atom

Cell: 4.614 4.614 4.614 Å, 131.52 131.52 70.99°
Element x y z (fractional)
Zn1 0.000 0.000 0.000
Ir1 0.750 0.250 0.500
Rh1 0.250 0.750 0.500
Rh2 0.500 0.500 0.000


[2]
Entry from Alexandria: a PBEsol-optimized structure of ZnIrRh2 (SCAN).

Summary:
ΔE_f = -0.144 eV per atom
Size of the total moment = 0.0 Bohr magnetons per cell
Calculated density = 14.2 g cm⁻³
Symmetry = No. 47
Raw total energy = -38.183 eV/atom

Cell: 2.708 3.750 5.327 Å, 90.00 90.00 90.00°
Element x y z (fractional)
Zn1 0.000 0.000 0.000
Ir1 0.000 0.000 0.500
Rh1 0.500 0.500 0.251
Rh2 0.500 0.500 0.749


[3]
Entry from Alexandria: a PBEsol-optimized structure of ZnIrRh2 (SCAN).

Summary:
ΔE_f = -0.164 eV per atom
Size of the total moment = 0.0 Bohr magnetons per cell
Calculated density = 14.2 g cm⁻³
Symmetry = No. 65
Raw total energy = -38.203 eV/atom

Cell: 4.622 4.622 2.688 Å, 90.00 90.00 109.55°
Element x y z (fractional)
Zn1 0.000 0.000 0.000
Ir1 0.500 0.500 0.000
Rh1 0.000 0.500 0.500
Rh2 0.500 0.000 0.500


> The lowest ΔE_f belongs to which entry?

number 3